Entry 1:
LiSn3Pt12 (PBE, optimized geometry); space group = No. 123; ΔH_f (0 K) = -0.394 eV per atom; density = 17.25 g cm⁻³
1.0
-1.647 -2.341 -2.831
2.935 -2.704 0.529
-8.815 -7.370 11.224
Pt Sn Li
12 3 1
direct
0.000 0.500 0.372 Pt
0.500 0.000 0.628 Pt
0.500 0.500 0.500 Pt
0.500 0.000 0.884 Pt
0.500 0.500 0.000 Pt
0.500 0.500 0.247 Pt
0.000 0.500 0.116 Pt
0.500 0.000 0.372 Pt
0.500 0.500 0.753 Pt
0.000 0.500 0.884 Pt
0.000 0.500 0.628 Pt
0.500 0.000 0.116 Pt
0.000 0.000 0.241 Sn
0.000 0.000 0.759 Sn
0.000 0.000 0.500 Sn
0.000 0.000 0.000 Li

Entry 2:
Li6SnPt2 (PBE, optimized geometry); space group = No. 166; ΔH_f (0 K) = -0.516 eV per atom; density = 6.81 g cm⁻³; offset from the most stable computed form = 0.000 eV per atom
1.0
5.106 -0.186 0.574
0.679 5.095 -0.208
-0.116 -0.242 5.137
Pt Li Sn
2 6 1
direct
0.336 0.664 0.664 Pt
0.664 0.336 0.336 Pt
0.826 0.826 0.500 Li
0.174 0.500 0.174 Li
0.174 0.174 0.500 Li
0.826 0.500 0.826 Li
0.500 0.826 0.174 Li
0.500 0.174 0.826 Li
0.000 0.000 0.000 Sn

Entry 3:
Li3SnPt4 (PBE, optimized geometry); space group = No. 12; ΔH_f (0 K) = -0.606 eV per atom; density = 13.20 g cm⁻³
1.0
3.994 0.000 -1.084
-0.286 3.989 -1.065
-0.164 -0.211 7.366
Sn Pt Li
1 4 3
direct
0.500 0.000 0.000 Sn
0.867 0.868 0.735 Pt
0.133 0.132 0.265 Pt
0.632 0.633 0.265 Pt
0.368 0.367 0.735 Pt
0.753 0.253 0.505 Li
0.000 0.500 0.000 Li
0.247 0.747 0.495 Li

Entry 4:
Li3Sn3Pt2 (PBE, optimized geometry); space group = No. 160; ΔH_f (0 K) = -0.545 eV per atom; density = 9.10 g cm⁻³
1.0
4.417 0.000 1.331
2.008 3.934 1.331
-0.017 -0.010 8.050
Sn Li Pt
3 3 2
direct
0.126 0.126 0.621 Sn
0.367 0.367 0.900 Sn
0.884 0.884 0.348 Sn
0.249 0.249 0.254 Li
0.745 0.745 0.765 Li
0.625 0.625 0.125 Li
0.499 0.499 0.504 Pt
0.006 0.006 0.983 Pt

Entry 5:
Li2SnPt2 (PBE, optimized geometry); space group = No. 2; ΔH_f (0 K) = -0.625 eV per atom; density = 11.07 g cm⁻³; offset from the most stable computed form = 0.000 eV per atom
1.0
4.710 0.241 0.161
2.693 4.812 1.381
0.313 0.949 7.392
Li Pt Sn
4 4 2
direct
0.716 0.701 0.546 Li
0.483 0.903 0.850 Li
0.284 0.299 0.454 Li
0.517 0.097 0.150 Li
0.073 0.696 0.059 Pt
0.119 0.873 0.359 Pt
0.927 0.304 0.941 Pt
0.881 0.127 0.641 Pt
0.694 0.481 0.247 Sn
0.306 0.519 0.753 Sn

Entry 6:
LiSnPt3 (PBE, optimized geometry); space group = No. 4; ΔH_f (0 K) = -0.454 eV per atom; density = 14.69 g cm⁻³; offset from the most stable computed form = 0.000 eV per atom
1.0
4.536 0.001 0.009
0.001 4.702 -0.001
2.275 0.000 7.538
Pt Sn Li
6 2 2
direct
0.460 0.103 0.803 Pt
0.267 0.140 0.190 Pt
0.566 0.603 0.583 Pt
0.959 0.727 0.798 Pt
0.066 0.227 0.588 Pt
0.758 0.639 0.195 Pt
0.363 0.618 0.989 Sn
0.663 0.117 0.397 Sn
0.154 0.691 0.407 Li
0.872 0.191 0.978 Li

Entry 7:
LiSnPt2 (PBE, optimized geometry); space group = No. 71; ΔH_f (0 K) = -0.111 eV per atom; density = 12.08 g cm⁻³
1.0
4.891 -1.711 -2.975
-1.485 4.965 2.975
-3.441 0.193 4.881
Sn Pt Li
1 2 1
direct
0.000 0.500 0.500 Sn
0.000 0.240 0.240 Pt
0.000 0.760 0.760 Pt
0.000 0.000 0.000 Li

Entry 8:
Li2SnPt2 (PBE, optimized geometry); space group = No. 127; ΔH_f (0 K) = -0.490 eV per atom; density = 10.97 g cm⁻³; offset from the most stable computed form = 0.135 eV per atom
1.0
7.243 0.000 0.000
0.000 7.243 0.000
0.000 0.000 3.017
Pt Sn Li
4 2 4
direct
0.149 0.351 0.000 Pt
0.351 0.851 0.000 Pt
0.649 0.149 0.000 Pt
0.851 0.649 0.000 Pt
0.500 0.500 0.000 Sn
0.000 0.000 0.000 Sn
0.855 0.355 0.500 Li
0.145 0.645 0.500 Li
0.355 0.145 0.500 Li
0.645 0.855 0.500 Li

Entry 9:
Li2SnPt2 (PBE, optimized geometry); space group = No. 139; ΔH_f (0 K) = -0.295 eV per atom; density = 10.43 g cm⁻³; offset from the most stable computed form = 0.330 eV per atom
1.0
3.503 0.000 0.000
0.000 3.503 0.000
1.751 1.751 6.783
Pt Sn Li
2 1 2
direct
0.604 0.604 0.792 Pt
0.396 0.396 0.208 Pt
0.000 0.000 0.000 Sn
0.250 0.750 0.500 Li
0.750 0.250 0.500 Li

Entry 10:
LiSnPt4 (PBE, optimized geometry); space group = No. 123; ΔH_f (0 K) = -0.209 eV per atom; density = 14.39 g cm⁻³; offset from the most stable computed form = 0.131 eV per atom
1.0
4.143 0.000 -0.001
0.000 4.143 -0.002
0.003 0.004 6.088
Pt Sn Li
4 1 1
direct
0.501 0.997 0.271 Pt
0.001 0.497 0.271 Pt
0.001 0.497 0.725 Pt
0.501 0.997 0.725 Pt
0.501 0.497 0.998 Sn
0.001 0.997 0.498 Li

Entry 11:
LiSn4Pt4 (PBE, optimized geometry); space group = No. 86; ΔH_f (0 K) = -0.433 eV per atom; density = 9.73 g cm⁻³
1.0
5.417 0.000 0.000
0.000 8.918 0.000
0.000 0.000 8.918
Li Sn Pt
2 8 8
direct
0.500 0.500 0.500 Li
0.000 0.000 0.000 Li
0.090 0.139 0.621 Sn
0.410 0.639 0.121 Sn
0.590 0.121 0.361 Sn
0.910 0.621 0.861 Sn
0.910 0.379 0.139 Sn
0.090 0.861 0.379 Sn
0.590 0.879 0.639 Sn
0.410 0.361 0.879 Sn
0.580 0.815 0.343 Pt
0.920 0.685 0.157 Pt
0.080 0.157 0.315 Pt
0.420 0.343 0.185 Pt
0.420 0.657 0.815 Pt
0.920 0.315 0.843 Pt
0.080 0.843 0.685 Pt
0.580 0.185 0.657 Pt

Entry 12:
Li2SnPt2 (PBE, optimized geometry); space group = No. 15; ΔH_f (0 K) = -0.606 eV per atom; density = 10.98 g cm⁻³; offset from the most stable computed form = 0.018 eV per atom
1.0
4.367 0.000 0.000
-2.184 4.950 0.129
0.000 -2.132 7.259
Sn Li Pt
2 4 4
direct
0.253 0.000 0.750 Sn
0.747 0.000 0.250 Sn
0.452 0.398 0.150 Li
0.946 0.398 0.650 Li
0.054 0.602 0.350 Li
0.548 0.602 0.850 Li
0.354 0.213 0.452 Pt
0.141 0.787 0.048 Pt
0.859 0.213 0.952 Pt
0.646 0.787 0.548 Pt

Entry 13:
LiSnPt2 (PBE, optimized geometry); space group = No. 123; ΔH_f (0 K) = -0.505 eV per atom; density = 13.22 g cm⁻³
1.0
3.366 0.000 0.000
0.000 3.366 0.000
0.000 0.000 5.716
Pt Li Sn
2 1 1
direct
0.000 0.000 0.741 Pt
0.000 0.000 0.259 Pt
0.500 0.500 0.500 Li
0.500 0.500 0.000 Sn

Entry 14:
Li3Sn2Pt3 (PBE, optimized geometry); space group = No. 160; ΔH_f (0 K) = -0.650 eV per atom; density = 10.95 g cm⁻³
1.0
-2.451 0.594 -3.708
-4.349 -1.094 -0.013
-3.980 6.619 0.979
Pt Li Sn
3 3 2
direct
0.373 0.373 0.880 Pt
0.126 0.126 0.623 Pt
0.877 0.877 0.369 Pt
0.751 0.751 0.747 Li
0.250 0.250 0.250 Li
0.624 0.624 0.127 Li
0.498 0.498 0.505 Sn
0.001 0.001 0.998 Sn

Entry 15:
Li2Sn3Pt4 (PBE, optimized geometry); space group = No. 64; ΔH_f (0 K) = -0.506 eV per atom; density = 10.77 g cm⁻³
1.0
-3.930 -3.545 2.926
2.433 -5.643 -3.571
7.566 0.445 4.451
Sn Pt Li
6 8 4
direct
0.493 0.250 0.487 Sn
0.000 0.000 0.000 Sn
0.007 0.750 0.513 Sn
0.500 0.500 0.000 Sn
0.507 0.750 0.513 Sn
0.993 0.250 0.487 Sn
0.673 0.750 0.847 Pt
0.334 0.473 0.668 Pt
0.834 0.027 0.668 Pt
0.166 0.973 0.332 Pt
0.327 0.250 0.153 Pt
0.827 0.250 0.153 Pt
0.666 0.527 0.332 Pt
0.173 0.750 0.847 Pt
0.919 0.403 0.838 Li
0.581 0.903 0.162 Li
0.081 0.597 0.162 Li
0.419 0.097 0.838 Li

Entry 16:
LiSnPt6 (PBE, optimized geometry); space group = No. 123; ΔH_f (0 K) = -0.389 eV per atom; density = 17.16 g cm⁻³
1.0
3.974 0.000 0.000
0.000 3.974 0.000
0.000 0.000 7.943
Pt Li Sn
6 1 1
direct
0.500 0.500 0.500 Pt
0.000 0.500 0.738 Pt
0.500 0.000 0.262 Pt
0.500 0.000 0.738 Pt
0.500 0.500 0.000 Pt
0.000 0.500 0.262 Pt
0.000 0.000 0.500 Li
0.000 0.000 0.000 Sn

Entry 17:
Li2SnPt3 (PBE, optimized geometry); space group = No. 166; ΔH_f (0 K) = -0.514 eV per atom; density = 10.86 g cm⁻³
1.0
4.745 0.117 2.392
1.523 4.496 2.392
0.159 0.117 5.312
Li Pt Sn
2 3 1
direct
0.389 0.389 0.389 Li
0.611 0.611 0.611 Li
0.000 0.000 0.500 Pt
0.000 0.500 0.000 Pt
0.500 0.000 0.000 Pt
0.000 0.000 0.000 Sn

Entry 18:
LiSnPt3 (PBE, optimized geometry); space group = No. 221; ΔH_f (0 K) = 0.157 eV per atom; density = 14.48 g cm⁻³; offset from the most stable computed form = 0.612 eV per atom
1.0
-1.660 -0.894 3.905
0.014 -4.228 -0.962
4.005 -0.355 1.622
Pt Li Sn
3 1 1
direct
0.500 0.000 0.000 Pt
0.000 0.000 0.500 Pt
0.000 0.500 0.000 Pt
0.000 0.000 0.000 Li
0.500 0.500 0.500 Sn

Entry 19:
Li3SnPt (PBE, optimized geometry); space group = No. 221; ΔH_f (0 K) = -0.107 eV per atom; density = 5.46 g cm⁻³; offset from the most stable computed form = 0.319 eV per atom
1.0
4.670 0.000 0.000
0.000 4.670 0.000
0.000 0.000 4.670
Li Pt Sn
3 1 1
direct
0.500 0.000 0.000 Li
0.000 0.500 0.000 Li
0.000 0.000 0.500 Li
0.000 0.000 0.000 Pt
0.500 0.500 0.500 Sn

Entry 20:
Li3SnPt (PBE, optimized geometry); space group = No. 11; ΔH_f (0 K) = -0.426 eV per atom; density = 6.03 g cm⁻³; offset from the most stable computed form = 0.000 eV per atom
1.0
-0.639 4.531 -0.494
-7.533 -1.018 0.412
0.204 0.604 5.223
Li Sn Pt
6 2 2
direct
0.750 0.250 0.258 Li
0.250 0.750 0.742 Li
0.749 0.434 0.802 Li
0.251 0.566 0.198 Li
0.251 0.934 0.198 Li
0.749 0.066 0.802 Li
0.751 0.750 0.463 Sn
0.249 0.250 0.537 Sn
0.750 0.750 0.972 Pt
0.250 0.250 0.028 Pt

Entry 21:
LiSn6Pt (PBE, optimized geometry); space group = No. 12; ΔH_f (0 K) = -0.153 eV per atom; density = 7.72 g cm⁻³
1.0
5.533 1.896 0.000
2.976 7.394 0.000
1.488 3.697 5.574
Sn Pt Li
6 1 1
direct
0.297 0.262 0.000 Sn
0.249 0.961 0.577 Sn
0.249 0.538 0.423 Sn
0.751 0.462 0.577 Sn
0.751 0.039 0.423 Sn
0.703 0.738 0.000 Sn
0.500 0.500 0.000 Pt
0.000 0.000 0.000 Li

Entry 22:
Li2Sn5Pt3 (PBE, optimized geometry); space group = No. 36; ΔH_f (0 K) = -0.515 eV per atom; density = 9.31 g cm⁻³
1.0
-1.180 3.588 -2.268
-3.512 -4.166 -4.762
-10.513 -0.812 8.463
Li Sn Pt
4 10 6
direct
0.851 0.158 0.702 Li
0.149 0.658 0.298 Li
0.476 0.755 0.952 Li
0.524 0.255 0.048 Li
0.115 0.257 0.230 Sn
0.705 0.488 0.411 Sn
0.960 0.085 0.921 Sn
0.295 0.988 0.589 Sn
0.397 0.375 0.794 Sn
0.603 0.875 0.206 Sn
0.885 0.757 0.770 Sn
0.707 0.030 0.413 Sn
0.293 0.530 0.587 Sn
0.040 0.585 0.079 Sn
0.947 0.456 0.894 Pt
0.053 0.956 0.106 Pt
0.398 0.999 0.796 Pt
0.218 0.263 0.437 Pt
0.782 0.763 0.563 Pt
0.602 0.499 0.204 Pt

Entry 23:
LiSnPt2 (PBE, optimized geometry); space group = No. 123; ΔH_f (0 K) = -0.643 eV per atom; density = 13.45 g cm⁻³
1.0
-2.679 1.534 2.266
-1.788 -3.647 0.354
2.300 -0.810 3.268
Pt Sn Li
2 1 1
direct
0.000 0.000 0.500 Pt
0.000 0.500 0.000 Pt
0.500 0.000 0.000 Sn
0.500 0.500 0.500 Li